No. 1
! Ca2B5H7O13, relaxed, DFT PBEsol; values from VASP
! **Space-group type**: P2_1/c (14)
! **Calculated total energy**: -749.1 eV/cell
&SYSTEM
  ibrav = 0, nat = 108, ntyp = 4
/
ATOMIC_SPECIES
Ca 40.08 Ca.upf
B 10.81 B.upf
H 1.01 H.upf
O 16.00 O.upf
CELL_PARAMETERS angstrom
-4.791 -4.820 -1.321
8.075 -8.062 0.131
-4.675 1.567 11.234
ATOMIC_POSITIONS crystal
Ca 0.238 0.008 0.580
Ca 0.738 0.992 0.920
Ca 0.762 0.992 0.420
Ca 0.262 0.008 0.080
Ca 0.763 0.311 0.380
Ca 0.263 0.689 0.120
Ca 0.237 0.689 0.620
Ca 0.737 0.311 0.880
B 0.257 0.252 0.353
B 0.757 0.748 0.147
B 0.743 0.748 0.647
B 0.243 0.252 0.853
B 0.275 0.015 0.327
B 0.775 0.985 0.173
B 0.725 0.985 0.673
B 0.225 0.015 0.827
B 0.469 0.184 0.479
B 0.969 0.816 0.021
B 0.531 0.816 0.521
B 0.031 0.184 0.979
B 0.718 0.306 0.628
B 0.218 0.694 0.872
B 0.282 0.694 0.372
B 0.782 0.306 0.128
B 0.377 0.294 0.688
B 0.877 0.706 0.812
B 0.623 0.706 0.312
B 0.123 0.294 0.188
H 0.767 0.497 0.649
H 0.267 0.503 0.851
H 0.233 0.503 0.351
H 0.733 0.497 0.149
H 0.010 0.312 0.706
H 0.510 0.688 0.794
H 0.990 0.688 0.294
H 0.490 0.312 0.206
H 0.108 0.272 0.501
H 0.608 0.728 0.999
H 0.892 0.728 0.499
H 0.392 0.272 0.001
H 0.112 0.878 0.355
H 0.612 0.122 0.145
H 0.888 0.122 0.645
H 0.388 0.878 0.855
H 0.478 0.901 0.220
H 0.978 0.099 0.280
H 0.522 0.099 0.780
H 0.022 0.901 0.720
H 0.738 0.574 0.461
H 0.238 0.426 0.039
H 0.262 0.426 0.539
H 0.762 0.574 0.961
H 0.527 0.539 0.413
H 0.027 0.461 0.087
H 0.473 0.461 0.587
H 0.973 0.539 0.913
O 0.236 0.324 0.773
O 0.736 0.676 0.727
O 0.764 0.676 0.227
O 0.264 0.324 0.273
O 0.098 0.309 0.439
O 0.598 0.691 0.061
O 0.902 0.691 0.561
O 0.402 0.309 0.939
O 0.440 0.264 0.411
O 0.940 0.736 0.089
O 0.560 0.736 0.589
O 0.060 0.264 0.911
O 0.211 0.118 0.287
O 0.711 0.882 0.213
O 0.789 0.882 0.713
O 0.289 0.118 0.787
O 0.110 0.974 0.385
O 0.610 0.026 0.115
O 0.890 0.026 0.615
O 0.390 0.974 0.885
O 0.332 0.908 0.222
O 0.832 0.092 0.278
O 0.668 0.092 0.778
O 0.168 0.908 0.722
O 0.438 0.052 0.409
O 0.938 0.948 0.091
O 0.562 0.948 0.591
O 0.062 0.052 0.909
O 0.326 0.215 0.578
O 0.826 0.785 0.922
O 0.674 0.785 0.422
O 0.174 0.215 0.078
O 0.668 0.200 0.522
O 0.168 0.800 0.978
O 0.332 0.800 0.478
O 0.832 0.200 0.022
O 0.884 0.269 0.683
O 0.384 0.731 0.817
O 0.116 0.731 0.317
O 0.616 0.269 0.183
O 0.743 0.413 0.589
O 0.243 0.587 0.911
O 0.257 0.587 0.411
O 0.757 0.413 0.089
O 0.562 0.333 0.716
O 0.062 0.667 0.784
O 0.438 0.667 0.284
O 0.938 0.333 0.216
O 0.664 0.514 0.396
O 0.164 0.486 0.104
O 0.336 0.486 0.604
O 0.836 0.514 0.896

No. 2
! YTcOs2, relaxed, DFT PBEsol; values from VASP
! **Space-group type**: Cmmm (65)
! **Calculated total energy**: -41.0 eV/cell
&SYSTEM
  ibrav = 0, nat = 4, ntyp = 3
/
ATOMIC_SPECIES
Os 190.23 Os.upf
Tc 98.00 Tc.upf
Y 88.91 Y.upf
CELL_PARAMETERS angstrom
-1.656 1.325 1.937
-3.921 -1.985 -1.994
1.487 -3.097 3.389
ATOMIC_POSITIONS crystal
Os 0.000 0.500 0.000
Os 0.000 0.000 0.500
Tc 0.500 0.000 0.000
Y 0.500 0.500 0.500

No. 3
! Pt2SCl, relaxed, DFT PBEsol; values from VASP
! **Space-group type**: I-42d (122)
! **Calculated total energy**: -39.3 eV/cell
&SYSTEM
  ibrav = 0, nat = 8, ntyp = 3
/
ATOMIC_SPECIES
S 32.06 S.upf
Pt 195.08 Pt.upf
Cl 35.45 Cl.upf
CELL_PARAMETERS angstrom
6.075 0.000 0.000
-3.037 5.187 0.140
0.000 3.422 5.019
ATOMIC_POSITIONS crystal
S 0.250 0.500 0.250
S 0.500 0.000 0.500
Pt 0.575 0.750 0.375
Pt 0.175 0.750 0.875
Pt 0.875 0.250 0.575
Pt 0.375 0.250 0.175
Cl 0.750 0.500 0.750
Cl 0.000 0.000 0.000

No. 4
! Ba7Mg, relaxed, DFT PBEsol; values from VASP
! **Space-group type**: Fm-3m (225)
! **Calculated total energy**: -16.3 eV/cell
&SYSTEM
  ibrav = 0, nat = 8, ntyp = 2
/
ATOMIC_SPECIES
Mg 24.30 Mg.upf
Ba 137.33 Ba.upf
CELL_PARAMETERS angstrom
-4.986 -1.143 6.669
-8.227 -1.337 -1.084
-3.265 -7.587 1.555
ATOMIC_POSITIONS crystal
Mg 0.000 0.000 0.000
Ba 0.500 0.000 0.000
Ba 0.500 0.500 0.000
Ba 0.000 0.500 0.000
Ba 0.500 0.000 0.500
Ba 0.000 0.000 0.500
Ba 0.000 0.500 0.500
Ba 0.500 0.500 0.500

No. 5
! MoPt2W, relaxed, DFT PBEsol; values from VASP
! **Space-group type**: Cmmm (65)
! **Excess energy over the best structure of this formula in the dataset**: 66 meV/atom
&SYSTEM
  ibrav = 0, nat = 4, ntyp = 3
/
ATOMIC_SPECIES
Mo 95.94 Mo.upf
Pt 195.08 Pt.upf
W 183.84 W.upf
CELL_PARAMETERS angstrom
2.706 0.000 0.000
0.000 4.905 -0.002
0.000 -1.928 4.510
ATOMIC_POSITIONS crystal
Mo 0.500 0.500 0.500
Pt 0.000 0.500 0.000
Pt 0.000 0.000 0.500
W 0.500 0.000 0.000

No. 6
! Co3Ni3Te2O16, relaxed, DFT PBEsol; values from VASP
! **Space-group type**: Cm (8)
! **Calculated total energy**: -154.1 eV/cell
&SYSTEM
  ibrav = 0, nat = 24, ntyp = 4
/
ATOMIC_SPECIES
Co 58.93 Co.upf
Ni 58.69 Ni.upf
Te 127.60 Te.upf
O 16.00 O.upf
CELL_PARAMETERS angstrom
5.615 0.000 0.000
-2.807 4.860 0.116
0.000 -0.242 8.994
ATOMIC_POSITIONS crystal
Co 0.661 0.829 0.785
Co 0.168 0.829 0.785
Co 0.830 0.661 0.284
Ni 0.167 0.334 0.786
Ni 0.831 0.166 0.285
Ni 0.335 0.166 0.285
Te 0.333 0.667 0.509
Te 0.667 0.334 0.007
O 0.683 0.840 0.404
O 0.485 0.969 0.668
O 0.334 0.668 0.888
O 0.998 0.996 0.688
O 0.998 0.996 0.187
O 0.157 0.840 0.404
O 0.488 0.517 0.666
O 0.029 0.517 0.666
O 0.843 0.685 0.904
O 0.160 0.320 0.403
O 0.971 0.490 0.163
O 0.519 0.490 0.163
O 0.667 0.334 0.385
O 0.841 0.157 0.905
O 0.514 0.028 0.160
O 0.315 0.157 0.905

No. 7
! LiMnVO4, relaxed, DFT PBEsol; values from VASP
! **Space-group type**: Cmcm (63)
! **Excess energy over the best structure of this formula in the dataset**: 0 meV/atom
&SYSTEM
  ibrav = 0, nat = 14, ntyp = 4
/
ATOMIC_SPECIES
Li 6.94 Li.upf
Mn 54.94 Mn.upf
V 50.94 V.upf
O 16.00 O.upf
CELL_PARAMETERS angstrom
-2.737 -2.796 -3.331
3.359 -2.837 2.659
-4.334 -1.004 4.404
ATOMIC_POSITIONS crystal
Li 0.165 0.835 0.250
Li 0.835 0.165 0.750
Mn 0.500 0.500 0.000
Mn 0.500 0.500 0.500
V 0.854 0.146 0.250
V 0.146 0.854 0.750
O 0.776 0.738 0.750
O 0.224 0.262 0.250
O 0.738 0.776 0.250
O 0.262 0.224 0.750
O 0.738 0.262 0.028
O 0.262 0.738 0.528
O 0.262 0.738 0.972
O 0.738 0.262 0.472

No. 8
! RbYAgP2, relaxed, DFT PBEsol; values from VASP
! **Space-group type**: P4/mmm (123)
! **Calculated total energy**: -14.0 eV/cell
&SYSTEM
  ibrav = 0, nat = 5, ntyp = 4
/
ATOMIC_SPECIES
Y 88.91 Y.upf
P 30.97 P.upf
Rb 85.47 Rb.upf
Ag 107.87 Ag.upf
CELL_PARAMETERS angstrom
-1.993 -2.367 4.194
4.783 -0.376 2.061
-0.633 4.637 2.316
ATOMIC_POSITIONS crystal
Y 0.500 0.000 0.000
P 0.000 0.000 0.500
P 0.000 0.500 0.000
Rb 0.000 0.000 0.000
Ag 0.500 0.500 0.500

No. 9
! AgPRh2, relaxed, DFT PBEsol; values from VASP
! **Space-group type**: I-4m2 (119)
! **Calculated total energy**: -24.5 eV/cell
&SYSTEM
  ibrav = 0, nat = 4, ntyp = 3
/
ATOMIC_SPECIES
Ag 107.87 Ag.upf
P 30.97 P.upf
Rh 102.91 Rh.upf
CELL_PARAMETERS angstrom
-0.179 3.570 -1.191
-2.204 0.867 2.930
4.378 -1.345 1.270
ATOMIC_POSITIONS crystal
Ag 0.500 0.500 0.000
P 0.250 0.750 0.500
Rh 0.000 0.000 0.000
Rh 0.750 0.250 0.500

No. 10
! CuMo2Os, relaxed, DFT PBEsol; values from VASP
! **Space-group type**: Fm-3m (225)
! **Excess energy over the best structure of this formula in the dataset**: 217 meV/atom
&SYSTEM
  ibrav = 0, nat = 4, ntyp = 3
/
ATOMIC_SPECIES
Cu 63.55 Cu.upf
Mo 95.94 Mo.upf
Os 190.23 Os.upf
CELL_PARAMETERS angstrom
4.320 0.000 0.000
2.160 3.742 0.000
2.160 1.247 3.528
ATOMIC_POSITIONS crystal
Cu 0.000 0.000 0.000
Mo 0.250 0.250 0.250
Mo 0.750 0.750 0.750
Os 0.500 0.500 0.500

No. 11
! AgB2S, relaxed, DFT PBEsol; values from VASP
! **Space-group type**: I-42d (122)
! **Calculated total energy**: -37.9 eV/cell
&SYSTEM
  ibrav = 0, nat = 8, ntyp = 3
/
ATOMIC_SPECIES
S 32.06 S.upf
B 10.81 B.upf
Ag 107.87 Ag.upf
CELL_PARAMETERS angstrom
4.989 0.000 0.000
-2.495 4.757 -0.002
0.000 -2.615 4.249
ATOMIC_POSITIONS crystal
S 0.750 0.500 0.250
S 0.500 0.000 0.500
B 0.422 0.250 0.375
B 0.828 0.250 0.875
B 0.125 0.750 0.578
B 0.625 0.750 0.172
Ag 0.250 0.500 0.750
Ag 0.000 0.000 0.000

No. 12
! KSiTe4, relaxed, DFT PBEsol; values from VASP
! **Space-group type**: F-43m (216)
! **Calculated total energy**: -19.1 eV/cell
&SYSTEM
  ibrav = 0, nat = 6, ntyp = 3
/
ATOMIC_SPECIES
K 39.10 K.upf
Si 28.09 Si.upf
Te 127.60 Te.upf
CELL_PARAMETERS angstrom
6.353 0.000 0.000
3.177 5.502 0.000
3.177 1.834 5.187
ATOMIC_POSITIONS crystal
K 0.750 0.750 0.750
Si 0.000 0.000 0.000
Te 0.374 0.374 0.374
Te 0.374 0.374 0.877
Te 0.877 0.374 0.374
Te 0.374 0.877 0.374